# 1
A relaxed CrSi crystal, computed with PBE.

Cell lengths 4.1517, 4.1517, 4.6582 Å; angles 90.00, 90.00, 120.00 degrees
Atoms (fractional coordinates):
1 Cr 0.3333 0.6667 0.2500
2 Cr 0.6667 0.3333 0.7500
3 Si 0.3333 0.6667 0.7500
4 Si 0.6667 0.3333 0.2500

Calculated values
As for the formation energy (no corrections): 42 kJ per mole of atoms. As for the space group: P6_3/mmc (194). For the total energy, the calculation gives -7.086 eV/atom.

---

# 2
A relaxed CrSi crystal, computed with PBE.

Cell lengths 4.8711, 4.8711, 4.8466 Å; angles 90.00, 90.00, 90.00 degrees
Atoms (fractional coordinates):
1 Cr 0.2346 0.2346 0.0000
2 Cr 0.2654 0.7346 0.5000
3 Cr 0.7346 0.2654 0.5000
4 Cr 0.7654 0.7654 0.0000
5 Si 0.2358 0.2358 0.5000
6 Si 0.2642 0.7358 0.0000
7 Si 0.7358 0.2642 0.0000
8 Si 0.7642 0.7642 0.5000

Calculated values
As for the formation energy (no corrections): 26 kJ per mole of atoms. As for the space group: P4_2/mnm (136). For the total energy, the calculation gives -7.253 eV/atom.

---

# 3
A relaxed CrSi3 crystal, computed with PBE.

Cell lengths 4.0195, 4.0195, 3.1386 Å; angles 90.00, 90.00, 90.00 degrees
Atoms (fractional coordinates):
1 Cr 0.0000 0.0000 0.0000
2 Si 0.0000 0.5000 0.5000
3 Si 0.5000 0.0000 0.5000
4 Si 0.5000 0.5000 0.0000

Calculated values
As for the formation energy (no corrections): 29 kJ per mole of atoms. As for the space group: P4/mmm (123). For the total energy, the calculation gives -6.177 eV/atom.